(1)
Tb3SnTe | PBE | relaxed

```
Tb3SnTe
1.0
9.1531 -2.1980 0.0000
9.1531 2.1980 0.0000
-0.3450 0.0000 8.7839
Tb Sn Te
6 2 2
direct
0.0842 0.0842 0.3613
0.1772 0.1772 0.9951
0.2990 0.2990 0.3651
0.7010 0.7010 0.6349
0.8228 0.8228 0.0049
0.9158 0.9158 0.6387
0.3145 0.3145 0.7479
0.6855 0.6855 0.2521
0.0798 0.0798 0.7050
0.9202 0.9202 0.2950
```

Values from the calculation:
Energy, eV per atom: -4.90
Density, g/cm3: 6.79
Space-group type: No. 12



(2)
Sr2Cd3In4 | PBE | relaxed

```
Sr2Cd3In4
1.0
3.2438 -8.7934 0.0000
3.2438 8.7934 0.0000
0.0000 0.0000 8.8896
Sr Cd In
4 6 8
direct
0.1060 0.8940 0.9021
0.3940 0.6060 0.4021
0.6060 0.3940 0.5979
0.8940 0.1060 0.0979
0.0000 0.0000 0.5000
0.0166 0.4834 0.7500
0.4834 0.0166 0.2500
0.5000 0.5000 0.0000
0.5166 0.9834 0.7500
0.9834 0.5166 0.2500
0.1755 0.8245 0.5142
0.1862 0.3138 0.7500
0.3138 0.1862 0.2500
0.3245 0.6755 0.0142
0.6755 0.3245 0.9858
0.6862 0.8138 0.7500
0.8138 0.6862 0.2500
0.8245 0.1755 0.4858
```

Values from the calculation:
Energy, eV per atom: -2.17
Density, g/cm3: 6.36
Space-group type: No. 64
Formation energy from the elements, eV per atom: -0.277



(3)
Ho7Tm2Cd2 | PBE | relaxed

```
Ho7Tm2Cd2
1.0
4.2495 -4.8357 0.0000
4.2495 4.8357 0.0000
-2.8113 0.0000 7.8853
Ho Tm Cd
7 2 2
direct
0.0000 0.0000 0.0000
0.1263 0.4814 0.8260
0.1408 0.1408 0.4178
0.4814 0.1263 0.8260
0.5186 0.8737 0.1740
0.8592 0.8592 0.5822
0.8737 0.5186 0.1740
0.3169 0.6831 0.5000
0.6831 0.3169 0.5000
0.3805 0.3805 0.1763
0.6195 0.6195 0.8237
```

Values from the calculation:
Energy, eV per atom: -3.94
Density, g/cm3: 8.80
Space-group type: No. 12
Formation energy from the elements, eV per atom: -0.044



(4)
CaMnP2S | PBE | relaxed

```
CaMnP2S
1.0
5.1721 0.0000 0.0000
0.0000 5.1721 0.0000
0.0000 0.0000 5.0730
Ca Mn P S
1 1 2 1
direct
0.0000 0.0000 0.0000
0.5000 0.5000 0.5000
0.0000 0.5000 0.0000
0.5000 0.0000 0.0000
0.0000 0.0000 0.5000
```

Values from the calculation:
Energy, eV per atom: -4.27
Density, g/cm3: 2.31
Space-group type: No. 123



(5)
LaYHo2Tl2 | PBE | relaxed

```
LaYHo2Tl2
1.0
5.1867 0.0000 0.0000
0.0000 10.1450 0.0000
0.0000 0.0000 6.8003
La Y Ho Tl
2 2 4 4
direct
0.0000 0.0415 0.0000
0.0000 0.9585 0.5000
0.5000 0.1958 0.7265
0.5000 0.8042 0.2265
0.0000 0.3200 0.3776
0.0000 0.6800 0.8776
0.5000 0.4564 0.0936
0.5000 0.5436 0.5936
0.0000 0.3689 0.8419
0.0000 0.6311 0.3419
0.5000 0.1432 0.2650
0.5000 0.8568 0.7650
```

Values from the calculation:
Energy, eV per atom: -4.49
Density, g/cm3: 8.97
Space-group type: No. 26
Formation energy from the elements, eV per atom: -0.276



(6)
Ho2LuOs | PBE | relaxed

```
Ho2LuOs
1.0
1.6994 0.9811 10.7137
-1.6994 0.9811 10.7137
0.0000 -1.9622 10.7137
Ho Lu Os
2 1 1
direct
0.1040 0.1040 0.1040
0.8960 0.8960 0.8960
0.0000 0.0000 0.0000
0.5000 0.5000 0.5000
```

Values from the calculation:
Energy, eV per atom: -5.96
Density, g/cm3: 10.77
Space-group type: No. 166
Formation energy from the elements, eV per atom: 0.264



(7)
DyMnPt6 | PBE | relaxed

```
DyMnPt6
1.0
4.0333 0.0000 0.0000
0.0000 4.0333 0.0000
0.0000 0.0000 8.0491
Dy Mn Pt
1 1 6
direct
0.0000 0.0000 0.0000
0.0000 0.0000 0.5000
0.0000 0.5000 0.2637
0.0000 0.5000 0.7363
0.5000 0.0000 0.2637
0.5000 0.0000 0.7363
0.5000 0.5000 0.0000
0.5000 0.5000 0.5000
```

Values from the calculation:
Energy, eV per atom: -6.92
Density, g/cm3: 17.60
Space-group type: No. 123
Formation energy from the elements, eV per atom: -0.671



(8)
PmHf2Ta | PBE | relaxed

```
PmHf2Ta
1.0
3.5130 0.0000 0.0000
0.0000 3.5130 0.0000
0.0000 0.0000 7.7388
Pm Hf Ta
1 2 1
direct
0.0000 0.0000 0.0000
0.5000 0.5000 0.2991
0.5000 0.5000 0.7009
0.0000 0.0000 0.5000
```

Values from the calculation:
Energy, eV per atom: -8.94
Density, g/cm3: 11.87
Space-group type: No. 123
Formation energy from the elements, eV per atom: 0.187



(9)
YBe2Tc | PBE | relaxed

```
YBe2Tc
1.0
-1.8729 1.8729 4.3496
1.8729 -1.8729 4.3496
1.8729 1.8729 -4.3496
Y Be Tc
1 2 1
direct
0.0000 0.0000 0.0000
0.2500 0.7500 0.5000
0.5000 0.5000 0.0000
0.7500 0.2500 0.5000
```

Values from the calculation:
Energy, eV per atom: -5.70
Density, g/cm3: 5.58
Space-group type: No. 119
Formation energy from the elements, eV per atom: 0.370



(10)
TaTcSb2Te | PBE | relaxed

```
TaTcSb2Te
1.0
5.3806 0.0000 0.0000
0.0000 5.3806 0.0000
0.0000 0.0000 5.3176
Ta Tc Sb Te
1 1 2 1
direct
0.0000 0.0000 0.0000
0.5000 0.5000 0.5000
0.0000 0.5000 0.0000
0.5000 0.0000 0.0000
0.0000 0.0000 0.5000
```

Values from the calculation:
Energy, eV per atom: -5.55
Density, g/cm3: 7.01
Space-group type: No. 123



(11)
Cr2NiRh | PBE | relaxed

```
Cr2NiRh
1.0
2.5934 0.0000 0.0000
0.0000 4.1064 0.0000
0.0000 0.0000 4.5520
Cr Ni Rh
2 1 1
direct
0.0000 0.0000 0.0000
0.0000 0.5000 0.3211
0.5000 0.5000 0.8461
0.5000 0.0000 0.5031
```

Values from the calculation:
Energy, eV per atom: -8.10
Density, g/cm3: 9.10
Space-group type: No. 25
Formation energy from the elements, eV per atom: -0.008



(12)
RbCoReI2 | PBE | relaxed

```
RbCoReI2
1.0
5.7398 0.0000 0.0000
0.0000 5.7398 0.0000
0.0000 0.0000 4.5926
Rb Co Re I
1 1 1 2
direct
0.0000 0.0000 0.0000
0.5000 0.5000 0.5000
0.5000 0.5000 0.0000
0.0000 0.5000 0.5000
0.5000 0.0000 0.5000
```

Values from the calculation:
Energy, eV per atom: -4.03
Density, g/cm3: 6.41
Space-group type: No. 123



(13)
DyEr3Os | PBE | relaxed

```
DyEr3Os
1.0
7.1192 0.0000 0.0000
0.0000 7.6959 0.0000
-1.3481 0.0000 10.2324
Dy Er Os
4 12 4
direct
0.2198 0.0187 0.2430
0.2198 0.4813 0.7430
0.7802 0.5187 0.2570
0.7802 0.9813 0.7570
0.0901 0.6970 0.0300
0.0901 0.8030 0.5300
0.2983 0.5017 0.3523
0.2983 0.9983 0.8523
0.3962 0.1510 0.5716
0.3962 0.3490 0.0716
0.6038 0.6510 0.9284
0.6038 0.8490 0.4284
0.7017 0.0017 0.1477
0.7017 0.4983 0.6477
0.9099 0.1970 0.4700
0.9099 0.3030 0.9700
0.4522 0.7164 0.1663
0.4522 0.7836 0.6663
0.5478 0.2164 0.3337
0.5478 0.2836 0.8337
```

Values from the calculation:
Energy, eV per atom: -6.04
Density, g/cm3: 10.12
Space-group type: No. 14
Formation energy from the elements, eV per atom: -0.136



(14)
Dy3Tl2Rh | PBE | relaxed

```
Dy3Tl2Rh
1.0
3.8854 -5.4497 0.0000
3.8854 5.4497 0.0000
-1.3967 0.0000 7.8286
Dy Tl Rh
6 4 2
direct
0.0465 0.4009 0.7741
0.1723 0.1723 0.1704
0.4009 0.0465 0.7741
0.5991 0.9535 0.2259
0.8277 0.8277 0.8296
0.9535 0.5991 0.2259
0.0000 0.0000 0.5000
0.3612 0.6388 0.5000
0.5000 0.5000 0.0000
0.6388 0.3612 0.5000
0.2076 0.7924 0.0000
0.7924 0.2076 0.0000
```

Values from the calculation:
Energy, eV per atom: -4.74
Density, g/cm3: 10.01
Space-group type: No. 12
Formation energy from the elements, eV per atom: -0.425



(15)
SrGa12Ni6 | PBE | relaxed

```
SrGa12Ni6
1.0
5.5063 3.1790 2.8663
-5.5063 3.1790 2.8663
0.0000 -6.3581 2.8663
Sr Ga Ni
1 12 6
direct
0.0000 0.0000 0.0000
0.1159 0.5000 0.8841
0.1159 0.8841 0.5000
0.1542 0.4129 0.4129
0.4129 0.1542 0.4129
0.4129 0.4129 0.1542
0.5000 0.1159 0.8841
0.5000 0.8841 0.1159
0.5871 0.5871 0.8458
0.5871 0.8458 0.5871
0.8458 0.5871 0.5871
0.8841 0.1159 0.5000
0.8841 0.5000 0.1159
0.2806 0.2806 0.7045
0.2806 0.7045 0.2806
0.2955 0.7194 0.7194
0.7045 0.2806 0.2806
0.7194 0.2955 0.7194
0.7194 0.7194 0.2955
```

Values from the calculation:
Energy, eV per atom: -4.16
Density, g/cm3: 7.04
Space-group type: No. 166
Formation energy from the elements, eV per atom: -0.339



(16)
SrSc2Ru | PBE | relaxed

```
SrSc2Ru
1.0
-1.6562 2.2136 7.4952
1.6562 -2.2136 7.4952
1.6562 2.2136 -7.4952
Sr Sc Ru
1 2 1
direct
0.0000 0.0000 0.0000
0.3221 0.3221 0.0000
0.6813 0.1813 0.5000
0.1872 0.6872 0.5000
```

Values from the calculation:
Energy, eV per atom: -5.91
Density, g/cm3: 4.21
Space-group type: No. 44
Formation energy from the elements, eV per atom: -0.004



(17)
Pm4PrEr10 | PBE | relaxed

```
Pm4PrEr10
1.0
-4.9092 4.9092 5.3686
4.9092 -4.9092 5.3686
4.9092 4.9092 -5.3686
Pm Pr Er
4 1 10
direct
0.0508 0.2847 0.3354
0.2847 0.9492 0.2339
0.7153 0.0508 0.7661
0.9492 0.7153 0.6646
0.5000 0.5000 0.0000
0.1136 0.4533 0.9061
0.2075 0.1136 0.6602
0.2500 0.7500 0.5000
0.4533 0.5472 0.3398
0.4528 0.7925 0.9061
0.5472 0.2075 0.0939
0.5467 0.4528 0.6602
0.7500 0.2500 0.5000
0.7925 0.8864 0.3398
0.8864 0.5467 0.0939
```

Values from the calculation:
Energy, eV per atom: -4.17
Density, g/cm3: 7.68
Space-group type: No. 87
Formation energy from the elements, eV per atom: 0.455



(18)
Nd2TlHg | PBE | relaxed

```
Nd2TlHg
1.0
3.8441 0.0000 0.0000
0.0000 3.8441 0.0000
0.0000 0.0000 7.8917
Nd Tl Hg
2 1 1
direct
0.0000 0.0000 0.2418
0.0000 0.0000 0.7582
0.5000 0.5000 0.5000
0.5000 0.5000 0.0000
```

Values from the calculation:
Energy, eV per atom: -3.48
Density, g/cm3: 9.87
Space-group type: No. 123
Formation energy from the elements, eV per atom: -0.428



(19)
LiTbHfAl | PBE | relaxed

```
LiTbHfAl
1.0
0.0000 3.4830 3.4830
3.4830 0.0000 3.4830
3.4830 3.4830 0.0000
Li Tb Hf Al
1 1 1 1
direct
0.0000 0.0000 0.0000
0.7500 0.7500 0.7500
0.2500 0.2500 0.2500
0.5000 0.5000 0.5000
```

Values from the calculation:
Energy, eV per atom: -5.13
Density, g/cm3: 7.30
Space-group type: No. 216
Formation energy from the elements, eV per atom: -0.071



(20)
NaGeN | PBE | relaxed

```
NaGeN
1.0
3.6123 0.0000 0.0000
0.0000 3.6123 0.0000
0.0000 0.0000 3.8104
Na Ge N
1 1 1
direct
0.0000 0.0000 0.0000
0.5000 0.5000 0.5000
0.5000 0.5000 0.0000
```

Values from the calculation:
Energy, eV per atom: -4.49
Density, g/cm3: 3.66
Space-group type: No. 123



no.,calculated volume (Å³ per cell)
1,353.4
2,507.1
3,324.1
4,135.7
5,357.8
6,107.2
7,130.9
8,95.5
9,61.0
10,153.9
11,48.5
12,151.3
13,560.6
14,331.5
15,301.0
16,109.9
17,517.5
18,116.6
19,84.5
20,49.7